Density functional theory data (PBE-GGA) for crystalline LaH6Pt2Rh at its relaxed geometry.

```
10
Lattice="4.8591 0.0000 0.0000 -2.4187 4.2416 0.0000 -0.0181 -2.7934 4.9117" Properties=species:S:1:pos:R:3 pbc="T T T"
La 0.0000 0.0000 0.0000
H -1.0596 2.2214 1.1367
H 1.3590 -0.7738 3.7744
H -0.0041 1.6176 3.7743
H 2.4264 -0.1695 1.1374
H 1.0633 2.2219 1.1372
H 3.4820 -0.7733 3.7749
Pt -0.0086 0.0288 3.1111
Pt 2.4310 1.4193 1.8006
Rh 2.4205 -1.3967 2.4558
```

- ρ (g/cm³) = 10.5
- symmetry = P-1, No. 2
- calculated total energy (eV/atom) = -4.831